[1]
Density functional theory data (PBE) for a geometry-optimized Ho2PuPd structure.

Cell lengths 3.496, 3.496, 8.366 Å; angles 90.00, 90.00, 90.00 degrees
Space group P4/mmm (No. 123)
One atom of each set of equivalent atoms:
Ho 0.000 0.000 0.203 (multiplicity 2)
Pu 0.500 0.500 0.500 (multiplicity 1)
Pd 0.500 0.500 0.000 (multiplicity 1)

***

[2]
Density functional theory data (PBE) for a geometry-optimized CaPuIn6 structure.

Cell lengths 9.306, 9.316, 4.744 Å; angles 90.00, 90.00, 90.00 degrees
Space group Cmmm (No. 65)
One atom of each set of equivalent atoms:
Ca 0.000 0.000 0.000 (multiplicity 2)
Pu 0.000 0.500 0.000 (multiplicity 2)
In 0.000 0.252 0.500 (multiplicity 4)
In 0.248 0.500 0.500 (multiplicity 4)
In 0.250 0.250 0.000 (multiplicity 4)

***

| no. | energy of formation from the pure elements (eV/f.u.) |
| --- | --- |
| 1 | -1.4 |
| 2 | -2.2 |